1.
Below is YHoTmCd after structural relaxation, with properties calculated at the PBE level.

Cell and atoms, written as POSCAR:
```
YHoTmCd
1.0
3.566 0.000 0.000
0.000 3.566 0.000
0.000 0.000 9.019
Y Ho Tm Cd
1 1 1 1
Direct
0.000 0.000 0.000
0.000 0.000 0.540
0.500 0.500 0.273
0.500 0.500 0.768
```

Calculated values
offset from the most stable computed form	0	meV per atom
E_tot	-17.01	eV/f.u.
space group	P4mm (99)
size of the total moment	0.000	μB per formula unit
volume	28.68	Å³ per atom

=====

2.
Below is TbNdEr2Th after structural relaxation, with properties calculated at the PBE level.

Cell and atoms, written as POSCAR:
```
TbNdEr2Th
1.0
8.552 0.000 0.000
0.000 6.463 0.000
-1.079 0.000 6.210
Tb Nd Er Th
2 2 4 2
Direct
0.000 0.000 0.000
0.000 0.000 0.500
0.500 0.173 0.250
0.500 0.827 0.750
0.311 0.317 0.698
0.311 0.683 0.198
0.689 0.317 0.802
0.689 0.683 0.302
0.000 0.445 0.250
0.000 0.555 0.750
```

Calculated values
E_tot	-24.36	eV/f.u.
space group	P2/c (13)
size of the total moment	0.000	μB per formula unit
volume	34.33	Å³ per atom

=====

3.
Below is Pu2Ag2O7 after structural relaxation, with properties calculated at the PBE level.

Cell and atoms, written as POSCAR:
```
Pu2Ag2O7
1.0
2.197 -14.469 0.000
2.197 14.469 0.000
0.000 0.000 6.004
Pu Ag O
4 4 14
Direct
0.049 0.951 0.500
0.156 0.844 0.044
0.844 0.156 0.544
0.951 0.049 0.000
0.274 0.726 0.746
0.401 0.599 0.285
0.599 0.401 0.785
0.726 0.274 0.246
0.007 0.993 0.224
0.097 0.903 0.787
0.111 0.889 0.280
0.197 0.803 0.804
0.211 0.789 0.258
0.346 0.654 0.538
0.449 0.551 0.003
0.551 0.449 0.503
0.654 0.346 0.038
0.789 0.211 0.758
0.803 0.197 0.304
0.889 0.111 0.780
0.903 0.097 0.287
0.993 0.007 0.724
```

Calculated values
E_tot	-88.28	eV/f.u.
space group	Cmc2_1 (36)
size of the total moment	4.332	μB per formula unit
formation energy without anion corrections	-1746	meV per atom
volume	17.35	Å³ per atom

=====

4.
Below is Li5Bi12Au3 after structural relaxation, with properties calculated at the PBE level.

Cell and atoms, written as POSCAR:
```
Li5Bi12Au3
1.0
-8.483 8.483 8.483
8.483 -8.483 8.483
8.483 8.483 -8.483
Li Bi Au
20 48 12
Direct
0.000 0.000 0.000
0.000 0.000 0.500
0.000 0.500 0.000
0.000 0.500 0.500
0.125 0.750 0.875
0.125 0.875 0.250
0.250 0.125 0.875
0.250 0.625 0.375
0.375 0.250 0.625
0.375 0.625 0.750
0.500 0.000 0.000
0.500 0.000 0.500
0.500 0.500 0.000
0.500 0.500 0.500
0.625 0.375 0.250
0.625 0.750 0.375
0.750 0.375 0.625
0.750 0.875 0.125
0.875 0.125 0.750
0.875 0.250 0.125
0.063 0.236 0.129
0.063 0.327 0.934
0.066 0.629 0.393
0.066 0.937 0.673
0.107 0.736 0.673
0.107 0.871 0.434
0.129 0.063 0.236
0.129 0.566 0.893
0.173 0.236 0.607
0.173 0.437 0.566
0.236 0.129 0.063
0.236 0.607 0.173
0.264 0.327 0.893
0.264 0.437 0.371
0.327 0.893 0.264
0.327 0.934 0.063
0.371 0.264 0.437
0.371 0.607 0.934
0.393 0.066 0.629
0.393 0.827 0.764
0.434 0.107 0.871
0.434 0.827 0.563
0.437 0.371 0.264
0.437 0.566 0.173
0.563 0.434 0.827
0.563 0.629 0.736
0.566 0.173 0.437
0.566 0.893 0.129
0.607 0.173 0.236
0.607 0.934 0.371
0.629 0.393 0.066
0.629 0.736 0.563
0.673 0.066 0.937
0.673 0.107 0.736
0.736 0.563 0.629
0.736 0.673 0.107
0.764 0.393 0.827
0.764 0.871 0.937
0.827 0.563 0.434
0.827 0.764 0.393
0.871 0.434 0.107
0.871 0.937 0.764
0.893 0.129 0.566
0.893 0.264 0.327
0.934 0.063 0.327
0.934 0.371 0.607
0.937 0.673 0.066
0.937 0.764 0.871
0.125 0.250 0.375
0.125 0.375 0.750
0.250 0.375 0.125
0.250 0.875 0.625
0.375 0.125 0.250
0.375 0.750 0.125
0.625 0.250 0.875
0.625 0.875 0.750
0.750 0.125 0.375
0.750 0.625 0.875
0.875 0.625 0.250
0.875 0.750 0.625
```

Calculated values
E_tot	-65.21	eV/f.u.
space group	Ia-3d (230)
size of the total moment	0.000	μB per formula unit
volume	30.52	Å³ per atom